(1)
Density functional theory data (PBE-GGA) for GdSbRhAu after structural relaxation.

## Properties
DOS(E_F) ... 2.9 states/eV/cell
Raw formation energy ... -0.565 eV per atom

Cell lengths 4.898, 4.898, 4.898 Å; angles 60.00, 60.00, 60.00 degrees
Site moments in Bohr magnetons follow the coordinates.
Atoms (fractional coordinates):
Sb 0.000 0.000 0.000  0.00
Gd 0.500 0.500 0.500  6.99
Au 0.750 0.750 0.750  0.01
Rh 0.250 0.250 0.250  0.05

(2)
Density functional theory data (PBE-GGA) for GdScRhAu after structural relaxation.

## Properties
DOS(E_F) ... 3.7 states/eV/cell
Formation energy ... -3.1 eV per formula unit

Cell lengths 4.876, 4.876, 4.876 Å; angles 60.00, 60.00, 60.00 degrees
Site moments in Bohr magnetons follow the coordinates.
Atoms (fractional coordinates):
Sc 0.750 0.750 0.750  0.05
Rh 0.500 0.500 0.500  0.01
Gd 0.250 0.250 0.250  7.02
Au 0.000 0.000 0.000  0.03